[1]
This record from Alexandria via LeMat-Bulk describes a geometry-optimized BaZn2Au6 structure. The functional is PBE-GGA.

- Spin magnetization: 0.0 μB/f.u.
- ΔH_f (0 K): -131 meV per atom

Lattice parameters (Å, degrees): 8.586 8.586 8.586 60.00 60.00 60.00
Positions (direct):
Ba 0.125 0.125 0.125
Ba 0.875 0.875 0.875
Zn 0.000 0.500 0.500
Zn 0.500 0.000 0.500
Zn 0.500 0.500 0.000
Zn 0.500 0.500 0.500
Au 0.139 0.139 0.611
Au 0.139 0.611 0.139
Au 0.139 0.611 0.611
Au 0.389 0.389 0.861
Au 0.389 0.861 0.389
Au 0.389 0.861 0.861
Au 0.611 0.139 0.139
Au 0.611 0.139 0.611
Au 0.611 0.611 0.139
Au 0.861 0.389 0.389
Au 0.861 0.389 0.861
Au 0.861 0.861 0.389

***

[2]
This record from Alexandria via LeMat-Bulk describes a geometry-optimized LaS2 structure. The functional is PBE-GGA.

- Raw formation energy: -1.78 eV per atom
- Spin magnetization: 0.0 μB/f.u.

Lattice parameters (Å, degrees): 4.043 4.043 8.329 90.00 90.00 90.00
Positions (direct):
La 0.250 0.250 0.225
La 0.750 0.750 0.775
S 0.250 0.250 0.865
S 0.250 0.750 0.500
S 0.750 0.250 0.500
S 0.750 0.750 0.135

***

[3]
This record from Alexandria via LeMat-Bulk describes a geometry-optimized La2NdSmGa2 structure. The functional is PBE-GGA.

- Spin magnetization: 0.0 μB/f.u.
- ΔH_f (0 K): -406 meV per atom

Lattice parameters (Å, degrees): 5.221 9.781 6.767 90.00 90.00 90.00
Positions (direct):
La 0.000 0.056 0.000
La 0.000 0.944 0.500
La 0.500 0.169 0.300
La 0.500 0.831 0.800
Nd 0.000 0.334 0.680
Nd 0.000 0.666 0.180
Sm 0.500 0.445 0.979
Sm 0.500 0.555 0.479
Ga 0.000 0.354 0.204
Ga 0.000 0.646 0.704
Ga 0.500 0.158 0.774
Ga 0.500 0.842 0.274

***

[4]
This record from Alexandria via LeMat-Bulk describes a geometry-optimized HoZr2Os3 structure. The functional is PBE-GGA.

- Spin magnetization: 0.0 μB/f.u.
- ΔH_f (0 K): -417 meV per atom

Lattice parameters (Å, degrees): 3.313 3.313 10.012 90.00 90.00 90.00
Positions (direct):
Ho 0.000 0.000 0.000
Zr 0.000 0.000 0.335
Zr 0.000 0.000 0.665
Os 0.500 0.500 0.180
Os 0.500 0.500 0.500
Os 0.500 0.500 0.820

***

[5]
This record from Alexandria via LeMat-Bulk describes a geometry-optimized CaAcTcN4 structure. The functional is PBE-GGA.

- Raw formation energy: -0.77 eV per atom
- Spin magnetization: 0.0 μB/f.u.

Lattice parameters (Å, degrees): 5.905 5.934 7.154 90.00 109.26 90.00
Positions (direct):
Ca 0.190 0.250 0.024
Ca 0.810 0.750 0.976
Ac 0.278 0.250 0.562
Ac 0.722 0.750 0.438
Tc 0.256 0.750 0.815
Tc 0.744 0.250 0.185
N 0.050 0.509 0.747
N 0.050 0.991 0.747
N 0.428 0.750 0.072
N 0.457 0.750 0.666
N 0.543 0.250 0.334
N 0.572 0.250 0.928
N 0.950 0.009 0.253
N 0.950 0.491 0.253

***

[6]
This record from Alexandria via LeMat-Bulk describes a geometry-optimized NiAs structure. The functional is PBE-GGA.

- Spin magnetization: 0.0 μB/f.u.
- ΔH_f (0 K): -124 meV per atom

Lattice parameters (Å, degrees): 3.779 3.409 5.491 90.00 109.69 90.00
Positions (direct):
Ni 0.231 0.250 0.462
Ni 0.769 0.750 0.538
As 0.396 0.750 0.797
As 0.604 0.250 0.203

***

Copy entry 1 word for word.
This record from Alexandria via LeMat-Bulk describes a geometry-optimized BaZn2Au6 structure. The functional is PBE-GGA.

- Spin magnetization: 0.0 μB/f.u.
- ΔH_f (0 K): -131 meV per atom

Lattice parameters (Å, degrees): 8.586 8.586 8.586 60.00 60.00 60.00
Positions (direct):
Ba 0.125 0.125 0.125
Ba 0.875 0.875 0.875
Zn 0.000 0.500 0.500
Zn 0.500 0.000 0.500
Zn 0.500 0.500 0.000
Zn 0.500 0.500 0.500
Au 0.139 0.139 0.611
Au 0.139 0.611 0.139
Au 0.139 0.611 0.611
Au 0.389 0.389 0.861
Au 0.389 0.861 0.389
Au 0.389 0.861 0.861
Au 0.611 0.139 0.139
Au 0.611 0.139 0.611
Au 0.611 0.611 0.139
Au 0.861 0.389 0.389
Au 0.861 0.389 0.861
Au 0.861 0.861 0.389

***

Which value of spin magnetization does entry 5 give? 0.0 μB/f.u.

***

Number 6 is which compound? NiAs

***

spin magnetization of number 2 (LaS2)? 0.0 μB/f.u.